A plane-wave DFT calculation with PBE was carried out for an optimized crystal structure of LaMn2P.

abc: 4.3225 4.2063 4.2063
angles: 90.00 90.00 90.00
Last column: magnetic moment on the atom in μB.
Element x y z (fractional)
1 Mn 0.0000 0.5000 0.5000  3.46
2 Mn 0.0000 0.0000 0.0000  3.46
3 P 0.5000 0.5000 0.0000  0.01
4 La 0.5000 0.0000 0.5000  -0.14

DFT total energy ... -7.095 eV/atom
D(E_F) ... 3.2 states/eV per cell

A plane-wave DFT calculation with PBE was carried out for an optimized crystal structure of LaMnP2.

abc: 6.5553 6.5553 6.5553
angles: 33.29 33.29 33.29
Last column: magnetic moment on the atom in μB.
Element x y z (fractional)
1 P 0.9415 0.9415 0.9415  -0.06
2 P 0.7246 0.7246 0.7246  -0.05
3 Mn 0.3282 0.3282 0.3282  2.33
4 La 0.5058 0.5058 0.5058  -0.11

DFT total energy ... -7.012 eV/atom
D(E_F) ... 1.0 states/eV per cell

A plane-wave DFT calculation with PBE was carried out for an optimized crystal structure of LaMnP2.

abc: 4.9289 4.9289 4.9289
angles: 131.34 106.49 93.19
Last column: magnetic moment on the atom in μB.
Element x y z (fractional)
1 Mn 0.2500 0.7500 0.5000  -3.21
2 P 0.4321 0.4321 0.0000  0.00
3 La 0.7500 0.2500 0.5000  0.00
4 P 0.0679 0.0679 0.0000  0.00

DFT total energy ... -6.932 eV/atom
D(E_F) ... 2.2 states/eV per cell

A plane-wave DFT calculation with PBE was carried out for an optimized crystal structure of La2MnP.

abc: 7.9020 7.9020 7.9020
angles: 29.78 29.78 29.78
Last column: magnetic moment on the atom in μB.
Element x y z (fractional)
1 La 0.0405 0.0405 0.0405  -0.12
2 Mn 0.4572 0.4572 0.4572  1.87
3 La 0.2096 0.2096 0.2096  -0.13
4 P 0.7927 0.7927 0.7927  -0.01

DFT total energy ... -6.689 eV/atom
D(E_F) ... 5.2 states/eV per cell

A plane-wave DFT calculation with PBE was carried out for an optimized crystal structure of LaMnP.

abc: 5.8859 5.8859 5.8859
angles: 147.91 147.91 46.02
Last column: magnetic moment on the atom in μB.
Element x y z (fractional)
1 P 0.2850 0.2850 0.0000  -0.09
2 Mn 0.7128 0.7128 0.0000  2.59
3 La 0.0022 0.0022 0.0000  -0.06

DFT total energy ... -6.867 eV/atom
D(E_F) ... 3.3 states/eV per cell

A plane-wave DFT calculation with PBE was carried out for an optimized crystal structure of LaMn4P.

abc: 5.0932 5.0932 5.0932
angles: 60.00 60.00 60.00
Last column: magnetic moment on the atom in μB.
Element x y z (fractional)
1 La 0.0000 0.0000 0.0000  -0.04
2 Mn 0.6233 0.6233 0.6233  2.25
3 P 0.2500 0.2500 0.2500  -0.04
4 Mn 0.6233 0.6233 0.1301  2.25
5 Mn 0.6233 0.1301 0.6233  2.25
6 Mn 0.1301 0.6233 0.6233  2.25

DFT total energy ... -7.470 eV/atom
D(E_F) ... 9.6 states/eV per cell

A plane-wave DFT calculation with PBE was carried out for an optimized crystal structure of LaMnP2.

abc: 4.6332 4.6332 4.6332
angles: 60.00 60.00 60.00
Element x y z (fractional)
1 La 0.5000 0.5000 0.5000
2 P 0.7500 0.7500 0.7500
3 P 0.2500 0.2500 0.2500
4 Mn 0.0000 0.0000 0.0000

DFT total energy ... -6.417 eV/atom
D(E_F) ... 0.1 states/eV per cell

A plane-wave DFT calculation with PBE was carried out for an optimized crystal structure of LaMnP2.

abc: 4.5855 4.0974 4.5729
angles: 89.99 90.00 90.00
Last column: magnetic moment on the atom in μB.
Element x y z (fractional)
1 Mn 0.5000 0.9993 0.8413  3.04
2 P 0.0000 0.0002 0.9149  -0.02
3 P 0.5000 0.0002 0.3507  -0.03
4 La 0.0000 0.5002 0.3931  0.04

DFT total energy ... -6.932 eV/atom
D(E_F) ... 3.4 states/eV per cell